Record 1
# PBE TbPrNd2Mg, optimized geometry
data_TbPrNd2Mg
_chemical_formula_sum 'Tb2 Pr2 Nd4 Mg2'
_cell_length_a 6.036
_cell_length_b 7.407
_cell_length_c 7.437
_cell_angle_alpha 90.00
_cell_angle_beta 90.00
_cell_angle_gamma 90.00
_space_group_name_H-M_alt 'P m m a'
_space_group_IT_number 51
loop_
_space_group_symop_operation_xyz
'x,y,z'
'-x,-y,-z'
'-x+1/2,-y,z'
'x+1/2,y,-z'
'x+1/2,-y,-z'
'-x+1/2,y,z'
'-x,y,-z'
'x,-y,z'
loop_
_atom_site_label
_atom_site_type_symbol
_atom_site_fract_x
_atom_site_fract_y
_atom_site_fract_z
Tb1 Tb 0.250 0.000 0.132
Pr1 Pr 0.250 0.500 0.340
Nd1 Nd 0.250 0.281 0.813
Mg1 Mg 0.000 0.000 0.500
# Calculated volume = 33.25 A^3/atom
# Formation enthalpy at 0 K = 0.15 eV per atom
# Crystal system = orthorhombic

---

Record 2
# PBE ReRu2W, optimized geometry
data_ReRu2W
_chemical_formula_sum 'Re1 Ru2 W1'
_cell_length_a 2.765
_cell_length_b 3.839
_cell_length_c 5.583
_cell_angle_alpha 90.00
_cell_angle_beta 90.00
_cell_angle_gamma 90.00
_space_group_name_H-M_alt 'P m m 2'
_space_group_IT_number 25
loop_
_space_group_symop_operation_xyz
'x,y,z'
'-x,-y,z'
'-x,y,z'
'x,-y,z'
loop_
_atom_site_label
_atom_site_type_symbol
_atom_site_fract_x
_atom_site_fract_y
_atom_site_fract_z
Re1 Re 0.000 0.000 0.000
Ru1 Ru 0.000 0.000 0.482
Ru2 Ru 0.500 0.500 0.225
W1 W 0.500 0.500 0.724
# Calculated volume = 14.82 A^3/atom
# Formation enthalpy at 0 K = 0.08 eV per atom
# Crystal system = orthorhombic
# ΔE to the lowest computed polymorph = 6.8 kJ per mole of atoms

---

Number 1: total magnetic moment 0.000 μB/cell. Number 2: total magnetic moment 0.000 μB/cell.